Compound: PmDy7Tm3
Source: Alexandria
Functional: GGA-PBE
Structure: optimized geometry

Unit cell a=8.5426 b=7.0324 c=7.0324 alpha=120.00 beta=90.00 gamma=90.00
Closest atoms and distances in Å follow each position.
Fractional positions:
Tm 0.7843 0.5004 0.0009  5 Dy 3.47-3.51, 4 Tm 3.51-3.53, 1 Pm 3.54
Tm 0.7843 0.9991 0.4996  5 Dy 3.47-3.51, 4 Tm 3.51-3.53, 1 Pm 3.54
Tm 0.7843 0.5004 0.4996  5 Dy 3.47-3.51, 4 Tm 3.51-3.53, 1 Pm 3.54
Pm 0.4454 0.3333 0.6667  9 Dy 3.47-3.52, 3 Tm 3.54
Dy 0.4510 0.3361 0.1680  7 Dy 3.47-3.55, 2 Tm 3.49, 2 Pm 3.52
Dy 0.1147 0.1680 0.3360  1 Pm 3.47, 2 Tm 3.47, 8 Dy 3.49-3.54
Dy 0.4510 0.8320 0.6639  7 Dy 3.47-3.55, 2 Tm 3.49, 2 Pm 3.52
Dy 0.1147 0.6640 0.8320  1 Pm 3.47, 2 Tm 3.47, 8 Dy 3.49-3.54
Dy 0.4510 0.8320 0.1680  7 Dy 3.47-3.55, 2 Tm 3.49, 2 Pm 3.52
Dy 0.1198 0.6667 0.3333  9 Dy 3.47-3.52, 3 Tm 3.51
Dy 0.1147 0.1680 0.8320  1 Pm 3.47, 2 Tm 3.47, 8 Dy 3.49-3.54

- E_form: 19 kJ/mol of atoms
- E above lowest polymorph: 0.054 eV per atom
- N(E_F): 1.59 states/eV/atom
- Space-group type: P3m1, No. 156